(1)
DFT (PBE) results for TaV2HOs after structural relaxation.

**Total moment**: 0.0 Bohr magnetons per cell
**V**: 12.450 Å³ per atom
**Crystal system**: tetragonal
**D(E_F)**: 3.559 states/eV/cell

Geometry as POSCAR:
```
TaV2HOs
1.0
-1.155 -0.511 -3.540
-0.663 -3.625 0.739
-4.120 0.998 1.200
H V Os Ta
1 2 1 1
Cartesian
0.000 0.000 0.000
-0.331 -1.813 0.370
-0.577 -0.255 -1.770
-2.060 0.499 0.600
-2.969 -1.569 -0.801
```

=====

(2)
DFT (PBE) results for TaV2HOs after structural relaxation.

**Total moment**: 0.0 Bohr magnetons per cell
**V**: 12.435 Å³ per atom
**Crystal system**: tetragonal
**D(E_F)**: 3.995 states/eV/cell

Geometry as POSCAR:
```
TaV2HOs
1.0
-2.152 2.873 -1.124
-3.082 -1.935 0.954
0.176 1.713 4.042
H V Os Ta
1 2 1 1
Cartesian
0.000 0.000 0.000
-1.541 -0.967 0.477
-1.076 1.437 -0.562
-2.529 1.326 1.936
0.088 0.857 2.021
```

=====

Which structure is the most stable? The one labeled (2).